A relaxed Ba2Ge2Ir crystal. Source: Alexandria, functional PBE.

Lattice parameters (Å, degrees): 9.917 7.440 8.122 90.00 103.82 90.00
Sites, in units of the cell vectors:
1 Ba 0.080 0.215 0.035
2 Ba 0.080 0.285 0.535
3 Ba 0.323 0.600 0.951
4 Ba 0.323 0.900 0.451
5 Ba 0.677 0.100 0.549
6 Ba 0.677 0.400 0.049
7 Ba 0.920 0.715 0.465
8 Ba 0.920 0.785 0.965
9 Ge 0.164 0.555 0.263
10 Ge 0.164 0.945 0.763
11 Ge 0.434 0.167 0.160
12 Ge 0.434 0.333 0.660
13 Ge 0.566 0.667 0.340
14 Ge 0.566 0.833 0.840
15 Ge 0.836 0.055 0.237
16 Ge 0.836 0.445 0.737
17 Ir 0.399 0.087 0.854
18 Ir 0.399 0.413 0.354
19 Ir 0.601 0.587 0.646
20 Ir 0.601 0.913 0.146

Final energy in eV per atom: -4.849
Volume in Å³ per atom: 29.10
Theoretical density in g/cm3: 6.99
M_tot in μB/atom: 0.000
DOS(E_F) in states/eV per atom: 0.6143
Formation enthalpy at 0 K in eV/f.u.: -2.3

=====

A relaxed Nb3MoIr4 crystal. Source: Alexandria, functional PBE.

Lattice parameters (Å, degrees): 3.926 4.003 8.078 90.00 90.00 90.00
Sites, in units of the cell vectors:
1 Nb 0.000 0.000 0.000
2 Nb 0.000 0.500 0.262
3 Nb 0.000 0.500 0.738
4 Mo 0.000 0.000 0.500
5 Ir 0.500 0.000 0.254
6 Ir 0.500 0.000 0.746
7 Ir 0.500 0.500 0.000
8 Ir 0.500 0.500 0.500

Final energy in eV per atom: -10.039
Volume in Å³ per atom: 15.87
Theoretical density in g/cm3: 14.95
M_tot in μB/atom: 0.000
DOS(E_F) in states/eV per atom: 0.7402
Formation enthalpy at 0 K in eV/f.u.: -3.8

=====

A relaxed La5TbNd2Sm crystal. Source: Alexandria, functional PBE.

Lattice parameters (Å, degrees): 10.212 10.212 10.212 127.67 127.67 77.16
Sites, in units of the cell vectors:
1 La 0.000 0.000 0.000
2 La 0.067 0.567 0.916
3 La 0.151 0.067 0.500
4 La 0.349 0.849 0.916
5 La 0.433 0.349 0.500
6 La 0.500 0.500 0.000
7 La 0.567 0.651 0.500
8 La 0.651 0.151 0.084
9 La 0.849 0.933 0.500
10 La 0.933 0.433 0.084
11 Tb 0.250 0.750 0.500
12 Tb 0.750 0.250 0.500
13 Nd 0.117 0.383 0.500
14 Nd 0.383 0.883 0.265
15 Nd 0.617 0.117 0.735
16 Nd 0.883 0.617 0.500
17 Sm 0.250 0.250 0.000
18 Sm 0.750 0.750 0.000

Final energy in eV per atom: -4.577
Volume in Å³ per atom: 35.97
Theoretical density in g/cm3: 6.63
M_tot in μB/atom: 0.000
DOS(E_F) in states/eV per atom: 1.8718
Formation enthalpy at 0 K in eV/f.u.: 2.3

=====

A relaxed Pm2DyYTh crystal. Source: Alexandria, functional PBE.

Lattice parameters (Å, degrees): 8.336 6.491 6.385 90.00 90.18 90.00
Sites, in units of the cell vectors:
1 Pm 0.194 0.210 0.251
2 Pm 0.194 0.790 0.751
3 Pm 0.806 0.210 0.249
4 Pm 0.806 0.790 0.749
5 Dy 0.500 0.500 0.000
6 Dy 0.500 0.500 0.500
7 Y 0.000 0.314 0.750
8 Y 0.000 0.686 0.250
9 Th 0.500 0.063 0.750
10 Th 0.500 0.937 0.250

Final energy in eV per atom: -5.298
Volume in Å³ per atom: 34.55
Theoretical density in g/cm3: 7.43
M_tot in μB/atom: 0.000
DOS(E_F) in states/eV per atom: 1.3817
Formation enthalpy at 0 K in eV/f.u.: 1.5